No. 1
Te2IrPt2 | Alexandria | PBE-GGA | relaxed; formation energy (no corrections) = 0.39 eV/atom; space-group type = No. 139
1.0
6.948 -2.079 3.333
4.276 0.864 6.684
-6.724 -1.525 -4.022
Te Ir Pt
2 1 2
direct
0.603 0.603 0.000
0.397 0.397 0.000
0.000 0.000 0.000
0.250 0.750 0.500
0.750 0.250 0.500

---

No. 2
BMoAu3 | Alexandria | PBE-GGA | relaxed; polymorph energy (0 for the lowest one) = 6.193 eV per formula unit; E_form = 2.00 eV/atom; space-group type = No. 221
1.0
5.069 0.000 0.000
0.000 5.069 0.000
0.000 0.000 5.069
Mo B Au
1 1 3
direct
0.000 0.000 0.000
0.500 0.500 0.500
0.000 0.500 0.000
0.000 0.000 0.500
0.500 0.000 0.000